Entry from Alexandria via LeMat-Bulk: a relaxed structure of TcNiPdRh (PBE-GGA).

The structure in POSCAR format:
```
TcNiPdRh
1.0
2.7078 0.0000 0.0000
0.0000 2.7078 0.0000
0.0000 0.0000 7.5144
Tc Ni Pd Rh
1 1 1 1
direct
0.0000 0.0000 0.0000
0.5000 0.5000 0.2299
0.0000 0.0000 0.4763
0.5000 0.5000 0.7525
```

SG: P4mm (99)
Energy above the most stable polymorph in this dataset, meV/atom: 0.0
Magnetic moment, μB per atom: 0.000
Calculated formation energy, kJ/mol of atoms: -4